Entry from Alexandria: a PBEsol-optimized structure of MgSc2Be2 (SCAN).

The structure in POSCAR format:
```
MgSc2Be2
1.0
7.008 0.000 0.000
0.000 7.008 0.000
0.000 0.000 3.484
Mg Sc Be
2 4 4
direct
0.000 0.000 0.000 Mg
0.500 0.500 0.000 Mg
0.169 0.331 0.500 Sc
0.331 0.831 0.500 Sc
0.669 0.169 0.500 Sc
0.831 0.669 0.500 Sc
0.116 0.616 0.000 Be
0.384 0.116 0.000 Be
0.616 0.884 0.000 Be
0.884 0.384 0.000 Be
```

Summary:
SG ... P4/mbm, No. 127
Calculated total energy ... -8.461 eV per atom
DOS at the Fermi energy ... 3.2 states/eV/f.u.